An optimized crystal structure of HfScTc2. Source: Alexandria via LeMat-Bulk, functional PBE.

Cell and atoms, written as extended XYZ:
```
4
Lattice="-1.4148 -1.1936 -2.6749 0.7704 -3.0177 0.9390 -5.6692 -0.4515 3.2001" Properties=species:S:1:pos:R:3 pbc="T T T"
Sc -3.1568 -2.3314 0.7321
Hf -0.3222 -2.1056 -0.8679
Tc -4.2860 -0.3414 2.4193
Tc -1.3831 -0.1102 0.7807
```

Calculated values
* final energy: -9.5186 eV per atom
* ΔH_f (0 K): -0.26 eV/atom
* D(E_F): 4.7 states/eV/cell
* space-group type: P4/mmm, No. 123